The following is a GGA-PBE calculation of crystalline Rb3CuAu2I6 at its relaxed geometry, from Alexandria via LeMat-Bulk.

E_form (uncorrected) (eV/atom): -0.6512
Magnetization (Bohr magnetons per cell): 0.00
Symmetry: No. 164
Density (g cm⁻³): 4.0

The structure in POSCAR format:
```
Rb3CuAu2I6
1.0
8.633 0.000 0.000
-4.317 7.477 0.000
0.000 0.000 9.459
Au Rb I Cu
2 3 6 1
Direct
0.667 0.333 0.704
0.333 0.667 0.296
0.667 0.333 0.343
0.333 0.667 0.657
0.000 0.000 0.000
0.303 0.151 0.694
0.151 0.849 0.306
0.697 0.849 0.306
0.151 0.303 0.306
0.849 0.697 0.694
0.849 0.151 0.694
0.000 0.000 0.500
```